No. 1
Cs4Pr3YO8 | GGA-PBE | optimized geometry

Structure (POSCAR):
```
Cs4Pr3YO8
1.0
3.697 2.134 6.951
-3.697 2.134 6.951
0.000 -4.268 6.951
Cs Pr Y O
4 3 1 8
direct
0.000 0.000 0.000
0.000 0.500 0.500
0.500 0.000 0.500
0.500 0.500 0.000
0.000 0.000 0.500
0.000 0.500 0.000
0.500 0.000 0.000
0.500 0.500 0.500
0.224 0.224 0.224
0.233 0.718 0.718
0.282 0.282 0.767
0.282 0.767 0.282
0.718 0.233 0.718
0.718 0.718 0.233
0.767 0.282 0.282
0.776 0.776 0.776
```

Summary:
Symmetry: No. 166
M_tot, μB per cell: 0.0
Total energy, eV per atom: -6.498

---

No. 2
Cs2PrYO4 | GGA-PBE | optimized geometry

Structure (POSCAR):
```
Cs2PrYO4
1.0
6.326 0.000 0.000
0.000 3.655 0.000
-2.094 0.000 6.932
Cs Pr Y O
2 1 1 4
direct
0.000 0.000 0.000
0.500 0.500 0.000
0.000 0.500 0.500
0.500 0.000 0.500
0.233 0.000 0.668
0.287 0.500 0.333
0.713 0.500 0.667
0.767 0.000 0.332
```

Summary:
Symmetry: No. 10
M_tot, μB per cell: 0.0
Total energy, eV per atom: -6.632

---

No. 3
Cs4Pr3ZnO8 | GGA-PBE | optimized geometry

Structure (POSCAR):
```
Cs4Pr3ZnO8
1.0
6.537 -3.597 0.000
6.537 3.597 0.000
-3.882 0.000 6.961
Cs Pr Zn O
4 3 1 8
direct
0.000 0.000 0.000
0.000 0.500 0.000
0.500 0.000 0.000
0.500 0.500 0.000
0.000 0.000 0.500
0.000 0.500 0.500
0.500 0.000 0.500
0.500 0.500 0.500
0.214 0.214 0.671
0.235 0.235 0.293
0.249 0.689 0.651
0.311 0.751 0.349
0.689 0.249 0.651
0.751 0.311 0.349
0.765 0.765 0.707
0.786 0.786 0.329
```

Summary:
Symmetry: No. 12
M_tot, μB per cell: 1.2
Total energy, eV per atom: -5.682

---

No. 4
CsPr2ZnO5 | GGA-PBE | optimized geometry

Structure (POSCAR):
```
CsPr2ZnO5
1.0
-3.494 3.494 5.939
3.494 -3.494 5.939
3.494 3.494 -5.939
Cs Pr Zn O
2 4 2 10
direct
0.250 0.250 0.000
0.750 0.750 0.000
0.173 0.673 0.847
0.327 0.173 0.500
0.673 0.827 0.500
0.827 0.327 0.153
0.250 0.750 0.500
0.750 0.250 0.500
0.000 0.000 0.000
0.010 0.245 0.500
0.245 0.745 0.235
0.255 0.490 0.500
0.490 0.990 0.235
0.500 0.500 0.000
0.510 0.010 0.765
0.745 0.510 0.500
0.755 0.255 0.765
0.990 0.755 0.500
```

Summary:
Symmetry: No. 140
M_tot, μB per cell: 2.0
Total energy, eV per atom: -6.305

---

No. 5
Cs4Pr3ZrO8 | GGA-PBE | optimized geometry

Structure (POSCAR):
```
Cs4Pr3ZrO8
1.0
3.655 2.110 6.966
-3.655 2.110 6.966
0.000 -4.220 6.966
Cs Pr Zr O
4 3 1 8
direct
0.000 0.000 0.000
0.000 0.500 0.500
0.500 0.000 0.500
0.500 0.500 0.000
0.000 0.000 0.500
0.000 0.500 0.000
0.500 0.000 0.000
0.500 0.500 0.500
0.221 0.221 0.221
0.253 0.704 0.704
0.296 0.296 0.747
0.296 0.747 0.296
0.704 0.253 0.704
0.704 0.704 0.253
0.747 0.296 0.296
0.779 0.779 0.779
```

Summary:
Symmetry: No. 166
M_tot, μB per cell: 0.0
Total energy, eV per atom: -6.552

---

No. 6
Cs2PtO4 | GGA-PBE | optimized geometry

Structure (POSCAR):
```
Cs2PtO4
1.0
0.000 4.805 4.819
4.050 0.000 4.819
4.050 4.805 0.000
Cs Pt O
2 1 4
direct
0.250 0.250 0.250
0.750 0.750 0.750
0.000 0.000 0.000
0.194 0.194 0.806
0.195 0.805 0.195
0.805 0.195 0.805
0.806 0.806 0.194
```

Summary:
Symmetry: No. 69
M_tot, μB per cell: 2.0
Total energy, eV per atom: -4.768

---

No. 7
Cs2PtO5 | GGA-PBE | optimized geometry

Structure (POSCAR):
```
Cs2PtO5
1.0
6.785 0.000 0.000
0.000 6.785 0.000
0.000 0.000 8.639
Cs Pt O
4 2 10
direct
0.000 0.500 0.000
0.000 0.500 0.500
0.500 0.000 0.000
0.500 0.000 0.500
0.000 0.000 0.222
0.500 0.500 0.722
0.000 0.000 0.009
0.194 0.194 0.266
0.194 0.806 0.266
0.306 0.306 0.766
0.306 0.694 0.766
0.500 0.500 0.509
0.694 0.306 0.766
0.694 0.694 0.766
0.806 0.194 0.266
0.806 0.806 0.266
```

Summary:
Symmetry: No. 107
M_tot, μB per cell: 6.4
Total energy, eV per atom: -4.614

---

No. 8
CsPtO4 | GGA-PBE | optimized geometry

Structure (POSCAR):
```
CsPtO4
1.0
3.913 -4.572 0.000
3.913 4.572 0.000
-3.004 0.000 7.611
Cs Pt O
2 2 8
direct
0.121 0.879 0.750
0.879 0.121 0.250
0.446 0.554 0.250
0.554 0.446 0.750
0.152 0.668 0.182
0.256 0.347 0.609
0.332 0.848 0.318
0.347 0.256 0.109
0.653 0.744 0.891
0.668 0.152 0.682
0.744 0.653 0.391
0.848 0.332 0.818
```

Summary:
Symmetry: No. 15
M_tot, μB per cell: 2.2
Total energy, eV per atom: -4.882

---

No. 9
CsPtO2 | GGA-PBE | optimized geometry

Structure (POSCAR):
```
CsPtO2
1.0
5.054 0.000 0.000
0.000 5.054 0.000
0.000 0.000 4.029
Cs Pt O
1 1 2
direct
0.000 0.000 0.000
0.500 0.500 0.500
0.000 0.000 0.500
0.500 0.500 0.000
```

Summary:
Symmetry: No. 123
M_tot, μB per cell: 0.0
Total energy, eV per atom: -3.943

---

No. 10
Cs3PtO2 | GGA-PBE | optimized geometry

Structure (POSCAR):
```
Cs3PtO2
1.0
4.825 -4.932 0.000
4.825 4.932 0.000
0.000 0.000 7.270
Cs Pt O
6 2 4
direct
0.207 0.793 0.750
0.293 0.293 0.000
0.293 0.293 0.500
0.707 0.707 0.000
0.707 0.707 0.500
0.793 0.207 0.250
0.166 0.834 0.250
0.834 0.166 0.750
0.000 0.000 0.000
0.000 0.000 0.500
0.364 0.636 0.250
0.636 0.364 0.750
```

Summary:
Symmetry: No. 63
M_tot, μB per cell: 0.4
Total energy, eV per atom: -3.705

---

No. 11
CsPtO2 | GGA-PBE | optimized geometry

Structure (POSCAR):
```
CsPtO2
1.0
9.256 0.000 0.000
0.000 3.215 0.000
-4.462 0.000 5.731
Cs Pt O
2 2 4
direct
0.000 0.000 0.000
0.500 0.500 0.000
0.000 0.500 0.500
0.500 0.000 0.500
0.142 0.000 0.697
0.358 0.500 0.303
0.642 0.500 0.697
0.858 0.000 0.303
```

Summary:
Symmetry: No. 12
M_tot, μB per cell: 0.0
Total energy, eV per atom: -5.038

---

No. 12
CsPtO2 | GGA-PBE | optimized geometry

Structure (POSCAR):
```
CsPtO2
1.0
3.558 0.000 0.000
-1.779 3.082 0.000
0.000 0.000 6.415
Cs Pt O
1 1 2
direct
0.000 0.000 0.000
0.667 0.333 0.552
0.000 0.000 0.440
0.333 0.667 0.675
```

Summary:
Symmetry: No. 156
M_tot, μB per cell: 0.0
Total energy, eV per atom: -4.718

---

No. 13
Cs4PtO5 | GGA-PBE | optimized geometry

Structure (POSCAR):
```
Cs4PtO5
1.0
-4.498 4.498 3.025
4.498 -4.498 3.025
4.498 4.498 -3.025
Cs Pt O
4 1 5
direct
0.110 0.295 0.406
0.295 0.890 0.185
0.705 0.110 0.815
0.890 0.705 0.594
0.539 0.539 0.000
0.293 0.568 0.859
0.434 0.293 0.725
0.568 0.709 0.275
0.709 0.434 0.141
0.858 0.858 0.000
```

Summary:
Symmetry: No. 79
M_tot, μB per cell: 2.0
Total energy, eV per atom: -4.351

---

No. 14
CsPtO2 | GGA-PBE | optimized geometry

Structure (POSCAR):
```
CsPtO2
1.0
5.531 0.000 0.000
0.000 5.531 0.000
0.000 0.000 11.255
Cs Pt O
4 4 8
direct
0.000 0.000 0.000
0.000 0.500 0.250
0.500 0.000 0.750
0.500 0.500 0.500
0.000 0.000 0.500
0.000 0.500 0.750
0.500 0.000 0.250
0.500 0.500 0.000
0.088 0.250 0.625
0.250 0.588 0.875
0.250 0.912 0.375
0.412 0.250 0.125
0.588 0.750 0.125
0.750 0.088 0.375
0.750 0.412 0.875
0.912 0.750 0.625
```

Summary:
Symmetry: No. 122
M_tot, μB per cell: 0.0
Total energy, eV per atom: -4.686

---

No. 15
Cs3PtO3 | GGA-PBE | optimized geometry

Structure (POSCAR):
```
Cs3PtO3
1.0
5.669 3.273 1.856
-5.669 3.273 1.856
0.000 -6.547 1.856
Cs Pt O
3 1 3
direct
0.037 0.482 0.482
0.482 0.037 0.482
0.482 0.482 0.037
0.826 0.826 0.826
0.625 0.921 0.921
0.921 0.625 0.921
0.921 0.921 0.625
```

Summary:
Symmetry: No. 160
M_tot, μB per cell: 1.0
Total energy, eV per atom: -4.228

---

No. 16
CsPtO2 | GGA-PBE | optimized geometry

Structure (POSCAR):
```
CsPtO2
1.0
6.892 0.000 0.000
0.000 7.973 0.000
0.000 0.000 7.673
Cs Pt O
4 4 8
direct
0.208 0.122 0.000
0.292 0.622 0.500
0.708 0.378 0.000
0.792 0.878 0.500
0.245 0.178 0.524
0.255 0.678 0.024
0.745 0.322 0.524
0.755 0.822 0.024
0.007 0.285 0.595
0.178 0.000 0.376
0.322 0.500 0.876
0.493 0.785 0.095
0.507 0.215 0.595
0.678 0.500 0.376
0.822 0.000 0.876
0.993 0.715 0.095
```

Summary:
Symmetry: No. 33
M_tot, μB per cell: 0.0
Total energy, eV per atom: -4.835

---

No. 17
Cs2PtO | GGA-PBE | optimized geometry

Structure (POSCAR):
```
Cs2PtO
1.0
7.498 0.000 0.000
0.000 9.386 0.000
0.000 0.000 6.348
Cs Pt O
8 4 4
direct
0.124 0.058 0.242
0.124 0.442 0.242
0.376 0.558 0.742
0.376 0.942 0.742
0.624 0.058 0.258
0.624 0.442 0.258
0.876 0.558 0.758
0.876 0.942 0.758
0.126 0.250 0.748
0.374 0.750 0.248
0.626 0.250 0.752
0.874 0.750 0.252
0.124 0.750 0.094
0.376 0.250 0.594
0.624 0.750 0.406
0.876 0.250 0.906
```

Summary:
Symmetry: No. 62
M_tot, μB per cell: 0.0
Total energy, eV per atom: -3.771

---

No. 18
Cs3PtO3 | GGA-PBE | optimized geometry

Structure (POSCAR):
```
Cs3PtO3
1.0
4.731 -5.462 0.000
4.731 5.462 0.000
-2.071 0.000 7.742
Cs Pt O
6 2 6
direct
0.180 0.820 0.000
0.217 0.783 0.500
0.335 0.335 0.794
0.665 0.665 0.206
0.783 0.217 0.500
0.820 0.180 0.000
0.290 0.290 0.262
0.710 0.710 0.738
0.141 0.141 0.382
0.256 0.518 0.170
0.482 0.744 0.830
0.518 0.256 0.170
0.744 0.482 0.830
0.859 0.859 0.618
```

Summary:
Symmetry: No. 12
M_tot, μB per cell: 2.2
Total energy, eV per atom: -4.323

---

No. 19
CsPtO2 | GGA-PBE | optimized geometry

Structure (POSCAR):
```
CsPtO2
1.0
4.612 0.000 0.000
0.000 4.612 0.000
0.000 0.000 3.092
Cs Pt O
1 1 2
direct
0.000 0.000 0.000
0.500 0.500 0.000
0.000 0.500 0.500
0.500 0.000 0.500
```

Summary:
Symmetry: No. 123
M_tot, μB per cell: 0.0
Total energy, eV per atom: -3.430

---

No. 20
Cs2PtO2 | GGA-PBE | optimized geometry

Structure (POSCAR):
```
Cs2PtO2
1.0
6.016 0.000 0.000
0.000 6.016 0.000
0.000 0.000 10.245
Cs Pt O
4 2 4
direct
0.000 0.500 0.250
0.000 0.500 0.750
0.500 0.000 0.250
0.500 0.000 0.750
0.000 0.000 0.000
0.500 0.500 0.500
0.000 0.000 0.182
0.000 0.000 0.818
0.500 0.500 0.318
0.500 0.500 0.682
```

Summary:
Symmetry: No. 139
M_tot, μB per cell: 4.0
Total energy, eV per atom: -4.563